# BeCoF3 PBE+U relaxed
data_BeCoF3
_chemical_formula_sum 'Be1 Co1 F3'
_cell_length_a 4.008
_cell_length_b 4.008
_cell_length_c 4.008
_cell_angle_alpha 90.00
_cell_angle_beta 90.00
_cell_angle_gamma 90.00
_space_group_name_H-M_alt 'P m -3 m'
_space_group_IT_number 221
_space_group_name_Hall '-P 4 2 3'
loop_
_atom_site_label
_atom_site_type_symbol
_atom_site_fract_x
_atom_site_fract_y
_atom_site_fract_z
_atom_site_occupancy
Be1 Be 0.000 0.000 0.000 1
Co1 Co 0.500 0.500 0.500 1
F1 F 0.000 0.500 0.500 1
# Mass density, g/cm3: 3.22
# DOS(E_F), states/eV/cell: 7.11
# Energy above the most stable polymorph in this dataset, kcal/mol of atoms: 17.76
# Calculated total energy, eV/atom: -3.889